[1]
Here is crystalline Ce4SbP2 at its relaxed geometry from Alexandria via LeMat-Bulk. Energies are from PBE-GGA.

```
Ce4SbP2
1.0
2.087 -6.892 0.000
2.087 6.892 0.000
0.000 0.000 13.514
Ce Sb P
8 2 4
Direct
0.000 0.000 0.000
0.000 0.000 0.500
0.264 0.736 0.622
0.264 0.736 0.878
0.435 0.565 0.250
0.565 0.435 0.750
0.736 0.264 0.122
0.736 0.264 0.378
0.102 0.898 0.250
0.898 0.102 0.750
0.364 0.636 0.056
0.364 0.636 0.444
0.636 0.364 0.556
0.636 0.364 0.944
```

Values from the calculation:
* E: -6.633 eV/atom
* magnetization: 0.600 μB per atom
* crystal system: orthorhombic
* SG: Cmcm
* uncorrected formation energy: -1.108 eV per atom
* calculated volume: 27.8 Å³/atom



[2]
Here is crystalline Ce5Sb4P at its relaxed geometry from Alexandria via LeMat-Bulk. Energies are from PBE-GGA.

```
Ce5Sb4P
1.0
-4.934 4.934 3.134
4.934 -4.934 3.134
4.934 4.934 -3.134
Ce Sb P
5 4 1
Direct
0.000 0.000 0.000
0.217 0.597 0.814
0.403 0.217 0.620
0.597 0.783 0.380
0.783 0.403 0.186
0.093 0.304 0.397
0.304 0.907 0.210
0.696 0.093 0.790
0.907 0.696 0.603
0.500 0.500 0.000
```

Values from the calculation:
* E: -6.253 eV/atom
* magnetization: 0.403 μB per atom
* crystal system: tetragonal
* SG: I4/m
* uncorrected formation energy: -1.096 eV per atom
* calculated volume: 30.5 Å³/atom



[3]
Here is crystalline Ce2SbP at its relaxed geometry from Alexandria via LeMat-Bulk. Energies are from PBE-GGA.

```
Ce2SbP
1.0
4.230 0.000 0.000
0.000 7.358 0.000
0.000 0.000 7.474
Ce Sb P
4 2 2
Direct
0.250 0.007 0.224
0.250 0.493 0.224
0.750 0.507 0.776
0.750 0.993 0.776
0.250 0.250 0.579
0.750 0.750 0.421
0.250 0.750 0.918
0.750 0.250 0.082
```

Values from the calculation:
* E: -6.394 eV/atom
* magnetization: 0.462 μB per atom
* crystal system: orthorhombic
* SG: Pmmn
* uncorrected formation energy: -1.044 eV per atom
* calculated volume: 29.1 Å³/atom



[4]
Here is crystalline Ce3Sb3P at its relaxed geometry from Alexandria via LeMat-Bulk. Energies are from PBE-GGA.

```
Ce3Sb3P
1.0
4.303 -6.550 0.000
4.303 6.550 0.000
-0.627 0.000 7.849
Ce Sb P
6 6 2
Direct
0.100 0.100 0.285
0.131 0.477 0.773
0.477 0.131 0.773
0.523 0.869 0.227
0.869 0.523 0.227
0.900 0.900 0.715
0.165 0.835 0.000
0.222 0.778 0.500
0.425 0.425 0.149
0.575 0.575 0.851
0.778 0.222 0.500
0.835 0.165 0.000
0.199 0.199 0.620
0.801 0.801 0.380
```

Values from the calculation:
* E: -5.889 eV/atom
* magnetization: 0.165 μB per atom
* crystal system: monoclinic
* SG: C2/m
* uncorrected formation energy: -0.806 eV per atom
* calculated volume: 31.6 Å³/atom



[5]
Here is crystalline Ce3SbP2 at its relaxed geometry from Alexandria via LeMat-Bulk. Energies are from PBE-GGA.

```
Ce3SbP2
1.0
6.455 -3.743 0.000
6.455 3.743 0.000
0.000 0.000 7.249
Ce Sb P
6 2 4
Direct
0.090 0.500 0.250
0.090 0.910 0.750
0.500 0.090 0.750
0.500 0.910 0.250
0.910 0.090 0.250
0.910 0.500 0.750
0.498 0.502 0.750
0.502 0.498 0.250
0.167 0.167 0.000
0.167 0.167 0.500
0.833 0.833 0.000
0.833 0.833 0.500
```

Values from the calculation:
* energy above the most stable polymorph in this dataset: 18 kJ/mol of formula units
* E: -6.464 eV/atom
* magnetization: 0.569 μB per atom
* crystal system: orthorhombic
* SG: Cmcm
* uncorrected formation energy: -1.006 eV per atom
* calculated volume: 29.2 Å³/atom



[6]
Here is crystalline Ce2SbP at its relaxed geometry from Alexandria via LeMat-Bulk. Energies are from PBE-GGA.

```
Ce2SbP
1.0
2.088 1.206 7.569
-2.088 1.206 7.569
0.000 -2.412 7.569
Ce Sb P
2 1 1
Direct
0.000 0.000 0.000
0.155 0.155 0.155
0.576 0.576 0.576
0.746 0.746 0.746
```

Values from the calculation:
* E: -6.398 eV/atom
* magnetization: 0.482 μB per atom
* crystal system: trigonal
* SG: R3m
* uncorrected formation energy: -1.048 eV per atom
* calculated volume: 28.6 Å³/atom